A) The following is a PBE-GGA calculation of a relaxed structure of BaMnW3, from Alexandria.

abc: 4.9215 4.9215 4.9215
angles: 90.00 90.00 90.00
Last column: magnetic moment on the atom in μB.
Element x y z (fractional)
W  0.0000  0.0000  0.5000  -0.04
Ba  0.0000  0.0000  0.0000  -0.01
W  0.0000  0.5000  0.0000  -0.09
W  0.5000  0.0000  0.0000  -0.11
Mn  0.5000  0.5000  0.5000  0.30

* DOS at the Fermi energy: 2.24 states/eV per atom
* total moment: 0.06 μB per formula unit


B) The following is a PBE-GGA calculation of a relaxed structure of BaMnW3, from Alexandria.

abc: 4.7126 4.7126 4.7126
angles: 90.00 90.00 90.00
Last column: magnetic moment on the atom in μB.
Element x y z (fractional)
Mn  0.0000  0.0000  0.0000  -0.01
W  0.0000  0.5000  0.0000  0.10
W  0.0000  0.0000  0.5000  0.12
Ba  0.5000  0.5000  0.5000  0.02
W  0.5000  0.0000  0.0000  0.08

* DOS at the Fermi energy: 1.45 states/eV per atom
* total moment: 0.38 μB per formula unit


Quick one: most stable of them? B)


A) The following is a PBE-GGA calculation of a relaxed structure of BaYMn2, from Alexandria.

abc: 5.2425 5.2425 7.0418
angles: 78.45 78.45 38.98
Last column: magnetic moment on the atom in μB.
Element x y z (fractional)
Y  0.7500  0.7500  0.7500  -0.40
Ba  0.2500  0.2500  0.2500  -0.10
Mn  0.4961  0.4961  0.6002  3.57
Mn  0.0039  0.0039  0.8998  3.57

* DOS at the Fermi energy: 1.36 states/eV per atom
* total moment: 6.61 μB per formula unit


B) The following is a PBE-GGA calculation of a relaxed structure of BaYMn2, from Alexandria.

abc: 5.3613 5.3613 5.3613
angles: 60.00 60.00 60.00
Last column: magnetic moment on the atom in μB.
Element x y z (fractional)
Mn  0.7500  0.7500  0.7500  3.78
Y  0.0000  0.0000  0.0000  -0.38
Mn  0.2500  0.2500  0.2500  3.78
Ba  0.5000  0.5000  0.5000  -0.10

* DOS at the Fermi energy: 1.26 states/eV per atom
* total moment: 6.92 μB per formula unit


Quick one: most stable of them? B)


A) The following is a PBE-GGA calculation of a relaxed structure of BaYMn2, from Alexandria.

abc: 10.4642 10.4642 10.4642
angles: 19.56 19.56 19.56
Last column: magnetic moment on the atom in μB.
Element x y z (fractional)
Mn  0.2575  0.2575  0.2575  3.64
Ba  0.7387  0.7387  0.7387  -0.08
Mn  0.9839  0.9839  0.9839  3.92
Y  0.5199  0.5199  0.5199  -0.18

* DOS at the Fermi energy: 1.12 states/eV per atom
* total moment: 7.45 μB per formula unit


B) The following is a PBE-GGA calculation of a relaxed structure of BaYMn2, from Alexandria.

abc: 3.5921 3.5921 8.6962
angles: 90.00 90.00 90.00
Last column: magnetic moment on the atom in μB.
Element x y z (fractional)
Mn  0.5000  0.5000  0.2105  3.54
Mn  0.0000  0.0000  0.0783  3.71
Ba  0.5000  0.5000  0.7997  -0.01
Y  0.0000  0.0000  0.4115  -0.16

* DOS at the Fermi energy: 1.25 states/eV per atom
* total moment: 7.46 μB per formula unit


Quick one: most stable of them? B)


A) The following is a PBE-GGA calculation of a relaxed structure of BaYMn2, from Alexandria.

abc: 5.4375 5.4359 3.6333
angles: 90.00 90.00 90.00
Last column: magnetic moment on the atom in μB.
Element x y z (fractional)
Ba  0.0000  0.5000  0.5000  -0.12
Y  0.5000  0.0000  0.5000  -0.26
Mn  0.5000  0.5000  0.0000  3.78
Mn  0.0000  0.0000  0.0000  3.78

* DOS at the Fermi energy: 1.25 states/eV per atom
* total moment: 7.18 μB per formula unit


B) The following is a PBE-GGA calculation of a relaxed structure of BaYMn2, from Alexandria.

abc: 6.9920 6.9920 6.9920
angles: 149.04 139.23 52.06
Last column: magnetic moment on the atom in μB.
Element x y z (fractional)
Mn  0.8463  0.3463  0.5000  -2.72
Ba  0.2192  0.7192  0.5000  0.02
Y  0.4860  0.4860  0.0000  0.05
Mn  0.9485  0.9485  0.0000  2.87

* DOS at the Fermi energy: 1.40 states/eV per atom
* total moment: 0.35 μB per formula unit


Quick one: most stable of them? B)


A) The following is a PBE-GGA calculation of a relaxed structure of BaYMn2, from Alexandria.

abc: 3.8403 3.8309 8.4970
angles: 63.21 90.00 90.00
Last column: magnetic moment on the atom in μB.
Element x y z (fractional)
Mn  0.0000  0.5707  0.4294  3.60
Mn  0.0000  0.9293  0.0706  3.60
Ba  0.5000  0.7500  0.7500  -0.10
Y  0.5000  0.2500  0.2500  -0.38

* DOS at the Fermi energy: 1.35 states/eV per atom
* total moment: 6.66 μB per formula unit


B) The following is a PBE-GGA calculation of a relaxed structure of BaYMn2, from Alexandria.

abc: 5.2915 5.2915 5.2915
angles: 60.00 60.00 60.00
Last column: magnetic moment on the atom in μB.
Element x y z (fractional)
Ba  0.5000  0.5000  0.5000  -0.05
Y  0.7500  0.7500  0.7500  -0.16
Mn  0.2500  0.2500  0.2500  3.94
Mn  0.0000  0.0000  0.0000  3.86

* DOS at the Fermi energy: 1.59 states/eV per atom
* total moment: 8.13 μB per formula unit


Quick one: most stable of them? A)


A) The following is a PBE-GGA calculation of a relaxed structure of BaYMn2, from Alexandria.

abc: 5.9280 5.9280 5.9280
angles: 134.35 134.35 66.54
Last column: magnetic moment on the atom in μB.
Element x y z (fractional)
Mn  0.2500  0.7500  0.5000  3.69
Mn  0.0000  0.0000  0.0000  3.77
Y  0.5000  0.5000  0.0000  -0.46
Ba  0.7500  0.2500  0.5000  -0.20

* DOS at the Fermi energy: 1.18 states/eV per atom
* total moment: 6.63 μB per formula unit


B) The following is a PBE-GGA calculation of a relaxed structure of BaYMn2, from Alexandria.

abc: 10.1860 10.1860 10.1860
angles: 20.29 20.29 20.29
Last column: magnetic moment on the atom in μB.
Element x y z (fractional)
Y  0.2500  0.2500  0.2500  -0.29
Ba  0.7500  0.7500  0.7500  -0.15
Mn  0.5073  0.5073  0.5073  3.81
Mn  0.9927  0.9927  0.9927  3.81

* DOS at the Fermi energy: 1.10 states/eV per atom
* total moment: 7.15 μB per formula unit


C) The following is a PBE-GGA calculation of a relaxed structure of BaYMn2, from Alexandria.

abc: 4.6190 3.7477 6.8877
angles: 74.16 90.00 90.00
Last column: magnetic moment on the atom in μB.
Element x y z (fractional)
Y  0.0000  0.4913  0.3917  -0.40
Mn  0.5000  0.0612  0.2519  3.52
Ba  0.5000  0.7835  0.8089  -0.12
Mn  0.0000  0.1639  0.0476  3.48

* DOS at the Fermi energy: 1.17 states/eV per atom
* total moment: 6.21 μB per formula unit


D) The following is a PBE-GGA calculation of a relaxed structure of BaYMn2, from Alexandria.

abc: 8.3003 8.3003 6.7379
angles: 51.98 51.98 90.00
Last column: magnetic moment on the atom in μB.
Element x y z (fractional)
Mn  0.1465  0.6250  0.2500  3.68
Mn  0.8750  0.8535  0.7500  3.67
Y  0.5000  0.5000  0.0000  -0.49
Ba  0.7500  0.2500  0.5000  -0.20
Mn  0.3750  0.3965  0.7500  3.66
Mn  0.6035  0.1250  0.2500  3.68
Ba  0.0000  0.0000  0.0000  -0.20
Y  0.2500  0.7500  0.5000  -0.49

* DOS at the Fermi energy: 1.46 states/eV per atom
* total moment: 6.34 μB per formula unit


Quick one: most stable of them? C)


A) The following is a PBE-GGA calculation of a relaxed structure of BaYMn, from Alexandria.

abc: 3.7462 3.7462 8.1638
angles: 90.00 90.00 120.00
Last column: magnetic moment on the atom in μB.
Element x y z (fractional)
Y  0.3333  0.6667  0.6091  -0.24
Mn  0.6667  0.3333  0.3534  3.74
Ba  0.0000  0.0000  0.0374  -0.06

* DOS at the Fermi energy: 1.22 states/eV per atom
* total moment: 3.29 μB per formula unit


B) The following is a PBE-GGA calculation of a relaxed structure of BaYMn, from Alexandria.

abc: 5.2470 5.2470 5.2470
angles: 60.00 60.00 60.00
Last column: magnetic moment on the atom in μB.
Element x y z (fractional)
Y  0.5000  0.5000  0.5000  -0.14
Mn  0.0000  0.0000  0.0000  3.92
Ba  0.2500  0.2500  0.2500  -0.01

* DOS at the Fermi energy: 1.13 states/eV per atom
* total moment: 4.07 μB per formula unit


C) The following is a PBE-GGA calculation of a relaxed structure of BaYMn, from Alexandria.

abc: 5.3185 5.3185 5.3185
angles: 60.00 60.00 60.00
Last column: magnetic moment on the atom in μB.
Element x y z (fractional)
Mn  0.2500  0.2500  0.2500  3.54
Y  0.0000  0.0000  0.0000  -0.44
Ba  0.5000  0.5000  0.5000  -0.15

* DOS at the Fermi energy: 1.65 states/eV per atom
* total moment: 2.39 μB per formula unit


Quick one: most stable of them? A)


A) The following is a PBE-GGA calculation of a relaxed structure of BaMnZn3, from Alexandria.

abc: 4.9374 4.9374 4.9374
angles: 90.00 90.00 90.00
Last column: magnetic moment on the atom in μB.
Element x y z (fractional)
Ba  0.5000  0.5000  0.5000  -0.11
Mn  0.0000  0.0000  0.0000  3.12
Zn  0.5000  0.0000  0.0000  -0.04
Zn  0.0000  0.5000  0.0000  -0.02
Zn  0.0000  0.0000  0.5000  -0.01

* DOS at the Fermi energy: 1.00 states/eV per atom
* total moment: 2.66 μB per formula unit


B) The following is a PBE-GGA calculation of a relaxed structure of BaMnZn3, from Alexandria.

abc: 6.0508 6.0508 6.0508
angles: 90.00 90.00 90.00
Last column: magnetic moment on the atom in μB.
Element x y z (fractional)
Zn  0.0000  0.0000  0.5000  -0.01
Zn  0.5000  0.0000  0.0000  -0.05
Zn  0.0000  0.5000  0.0000  -0.03
Mn  0.5000  0.5000  0.5000  4.50
Ba  0.0000  0.0000  0.0000  -0.13

* DOS at the Fermi energy: 1.28 states/eV per atom
* total moment: 4.19 μB per formula unit


Quick one: most stable of them? A)